# AlAg4 | Alexandria | meta-GGA SCAN | PBEsol geometry
# Energy of formation, eV per atom: -0.06
data_AlAg4
_symmetry_space_group_name_H-M 'P 1'
_symmetry_Int_Tables_number 1
_symmetry_space_group_name_Hall 'P 1'
_cell_length_a 2.913
_cell_length_b 2.913
_cell_length_c 9.808
_cell_angle_alpha 98.54
_cell_angle_beta 98.54
_cell_angle_gamma 90.00
loop_
_atom_site_label
_atom_site_fract_x
_atom_site_fract_y
_atom_site_fract_z
Al1 0.000 0.000 0.000
Ag1 0.406 0.406 0.813
Ag2 0.801 0.801 0.602
Ag3 0.199 0.199 0.398
Ag4 0.594 0.594 0.187

# BaTl3Cd | Alexandria | meta-GGA SCAN | PBEsol geometry
# Energy of formation, eV per atom: -0.08
data_BaTl3Cd
_symmetry_space_group_name_H-M 'P 1'
_symmetry_Int_Tables_number 1
_symmetry_space_group_name_Hall 'P 1'
_cell_length_a 5.563
_cell_length_b 5.563
_cell_length_c 5.563
_cell_angle_alpha 90.00
_cell_angle_beta 90.00
_cell_angle_gamma 90.00
loop_
_atom_site_label
_atom_site_fract_x
_atom_site_fract_y
_atom_site_fract_z
Tl1 0.000 0.500 0.000
Tl2 0.000 0.000 0.500
Tl3 0.500 0.000 0.000
Ba1 0.500 0.500 0.500
Cd1 0.000 0.000 0.000

# Na2SiSnCO7 | Alexandria | meta-GGA SCAN | PBEsol geometry
# E_form (uncorrected), eV/atom: -2.13
data_Na2SiSnCO7
_symmetry_space_group_name_H-M 'P 1'
_symmetry_Int_Tables_number 1
_symmetry_space_group_name_Hall 'P 1'
_cell_length_a 5.268
_cell_length_b 6.643
_cell_length_c 9.115
_cell_angle_alpha 90.00
_cell_angle_beta 91.32
_cell_angle_gamma 90.00
loop_
_atom_site_label
_atom_site_fract_x
_atom_site_fract_y
_atom_site_fract_z
Na1 0.240 0.992 0.775
Na2 0.240 0.508 0.775
Na3 0.760 0.492 0.225
Na4 0.760 0.008 0.225
Si1 0.713 0.750 0.575
Si2 0.287 0.250 0.425
Sn1 0.794 0.250 0.639
Sn2 0.206 0.750 0.361
C1 0.727 0.250 0.922
C2 0.273 0.750 0.078
O1 0.316 0.750 0.944
O2 0.953 0.250 0.866
O3 0.539 0.250 0.821
O4 0.806 0.947 0.668
O5 0.806 0.553 0.668
O6 0.168 0.250 0.590
O7 0.398 0.750 0.556
O8 0.602 0.250 0.444
O9 0.832 0.750 0.410
O10 0.194 0.447 0.332
O11 0.194 0.053 0.332
O12 0.461 0.750 0.179
O13 0.047 0.750 0.134
O14 0.684 0.250 0.056

Entry from Alexandria: Be3CoH at its PBEsol-relaxed geometry (meta-GGA SCAN).

Cell and atoms, written as CIF:
```
data_Be3CoH
_symmetry_space_group_name_H-M 'P 1'
_symmetry_Int_Tables_number 1
_symmetry_space_group_name_Hall 'P 1'
_cell_length_a 3.260
_cell_length_b 3.260
_cell_length_c 3.260
_cell_angle_alpha 90.00
_cell_angle_beta 90.00
_cell_angle_gamma 90.00
loop_
_atom_site_label
_atom_site_fract_x
_atom_site_fract_y
_atom_site_fract_z
Be1 0.000 0.500 0.000
Be2 0.000 0.000 0.500
Be3 0.500 0.000 0.000
Co1 0.500 0.500 0.500
H1 0.000 0.000 0.000
```

The following magnetic moment values (in μB/atom) correspond, in order, to the records above: 0.000 0.000 0.007 0.000.
The following E_tot values (in eV for the cell shown) correspond, in order, to the records above: -133.5 -287.5 -267.3 -33.9.
The following Fermi-level density of states values (in states/eV/cell) correspond, in order, to the records above: 1.148 3.001 0.000 2.131.